Record 1
Material: ErTlZnHg
Method: DFT, PBE-GGA
State: optimized geometry

The structure belongs to space group F-43m (No. 216); the cell edges are 7.1976, 7.1976 and 7.1976 Å and the angles 90.00°, 90.00° and 90.00°. The asymmetric unit holds Er at (0.0000, 0.0000, 0.0000), Tl at (0.0000, 0.0000, 0.5000), Zn at (0.2500, 0.2500, 0.7500) and Hg at (0.2500, 0.2500, 0.2500).

***

Record 2
Material: MgTa2W
Method: DFT, PBE-GGA
State: optimized geometry

The structure belongs to space group P4mm (No. 99); the cell edges are 3.3492, 3.3492 and 6.4708 Å and the angles 90.00°, 90.00° and 90.00°. The asymmetric unit holds Mg at (0.0000, 0.0000, 0.0000), Ta at (0.0000, 0.0000, 0.5198), Ta at (0.5000, 0.5000, 0.2834) and W at (0.5000, 0.5000, 0.7373).

***

For each record above, in turn, the calculated ΔH_f (0 K) values are -153; 302 meV per atom.
For each record above, in turn, the calculated raw total energy values are -2.2793; -9.2612 eV/atom.